{
  "formula": "Ti6IrPd",
  "functional": "PBE",
  "state": "relaxed",
  "cell": [[4.4009, 0.0000, 0.0000], [0.0000, 4.4009, 0.0000], [0.0000, 0.0000, 13.3094]],
  "species": ["Ti", "Ti", "Ti", "Ti", "Ti", "Ti", "Ti", "Ti", "Ti", "Ti", "Ti", "Ti", "Ir", "Ir", "Pd", "Pd"],
  "fractional_positions": [[0.0000, 0.0000, 0.2487], [0.0000, 0.0000, 0.7513], [0.0000, 0.5000, 0.1192], [0.0000, 0.5000, 0.3808], [0.0000, 0.5000, 0.6192], [0.0000, 0.5000, 0.8808], [0.5000, 0.0000, 0.1192], [0.5000, 0.0000, 0.3808], [0.5000, 0.0000, 0.6192], [0.5000, 0.0000, 0.8808], [0.5000, 0.5000, 0.2513], [0.5000, 0.5000, 0.7487], [0.0000, 0.0000, 0.0000], [0.5000, 0.5000, 0.5000], [0.0000, 0.0000, 0.5000], [0.5000, 0.5000, 0.0000]],
  "vol_a3_per_fu": 128.9,
  "ef_ev_per_atom": -0.408,
  "space_group": "I4/mmm",
  "n_ef_per_ev_cell": 18.043,
  "energy_ev_per_fu": -64.684,
  "e_above_lowest_polymorph_ev_per_fu": 0.33,
  "mass_density_kg_m3": 7548
}